The following is a DFT calculation (PBE) of an optimized crystal structure of Li2ScIn4.

Geometry as POSCAR:
```
Li2ScIn4
1.0
-3.397 3.397 3.502
3.397 -3.397 3.502
3.397 3.397 -3.502
Li Sc In
2 1 4
Direct
0.000 0.500 0.500
0.500 0.000 0.500
0.000 0.000 0.000
0.000 0.000 0.500
0.000 0.500 0.000
0.500 0.000 0.000
0.500 0.500 0.500
```

Summary:
**E_form**: -249 meV/atom
**Space-group type**: I4/mmm (139)
**D(E_F)**: 0.474 states/eV per atom